Record 1
This record from Alexandria describes crystalline CeNdCdPb at its relaxed geometry. The functional is PBE-GGA.

Geometry as POSCAR:
```
CeNdCdPb
1.0
7.776 0.000 0.000
0.000 7.776 0.000
0.000 0.000 7.776
Ce Nd Cd Pb
4 4 4 4
Direct
0.000 0.000 0.000 Ce
0.000 0.500 0.500 Ce
0.500 0.000 0.500 Ce
0.500 0.500 0.000 Ce
0.000 0.000 0.500 Nd
0.000 0.500 0.000 Nd
0.500 0.000 0.000 Nd
0.500 0.500 0.500 Nd
0.250 0.250 0.250 Cd
0.250 0.750 0.750 Cd
0.750 0.250 0.750 Cd
0.750 0.750 0.250 Cd
0.250 0.250 0.750 Pb
0.250 0.750 0.250 Pb
0.750 0.250 0.250 Pb
0.750 0.750 0.750 Pb
```

Values from the calculation:
**Theoretical density**: 8.5 Mg/m³
**Calculated total energy**: -66.8 eV per cell
**Polymorph energy (0 for the lowest one)**: 5 meV/atom
**Magnetic moment**: 4.74 Bohr magnetons per cell
**E_form**: -343 meV/atom

Record 2
This record from Alexandria describes crystalline CeNd2Cd2Pb2 at its relaxed geometry. The functional is PBE-GGA.

Geometry as POSCAR:
```
CeNd2Cd2Pb2
1.0
2.585 1.493 8.943
-2.585 1.493 8.943
0.000 -2.985 8.943
Ce Nd Cd Pb
1 2 2 2
Direct
0.000 0.000 0.000 Ce
0.131 0.131 0.131 Nd
0.869 0.869 0.869 Nd
0.425 0.425 0.425 Cd
0.575 0.575 0.575 Cd
0.271 0.271 0.271 Pb
0.729 0.729 0.729 Pb
```

Values from the calculation:
**Theoretical density**: 8.6 Mg/m³
**Calculated total energy**: -26.0 eV per cell
**Magnetic moment**: 1.42 Bohr magnetons per cell
**E_form**: -182 meV/atom